# TeRuPt2

A relaxed structure of TeRuPt2 (PBE, Alexandria).

The value obtained for the raw formation energy is 389.4 meV per atom. The value obtained for the density of states at the Fermi level is 10.7 states/eV per cell. The total magnetization is 0.00 Bohr magnetons per cell.

The structure belongs to space group R-3m (No. 166, hexagonal axes); the cell edges are 2.9332, 2.9332 and 28.4697 Å and the angles 90.00°, 90.00° and 120.00°. The inequivalent atoms are Te at (0.0000, 0.0000, 0.0000), Ru at (0.0000, 0.0000, 0.5000) and Pt at (0.0000, 0.0000, 0.2414).


# Te2RuPt

A relaxed structure of Te2RuPt (PBE, Alexandria).

The value obtained for the raw formation energy is 281.6 meV per atom. The value obtained for the density of states at the Fermi level is 7.8 states/eV per cell. The value obtained for the relative energy among the computed polymorphs is 314.4 meV/atom. The total magnetization is 0.00 Bohr magnetons per cell.

The structure belongs to space group Cmmm (No. 65); the cell edges are 6.7754, 6.7984 and 3.3631 Å and the angles 90.00°, 90.00° and 90.00°. The inequivalent atoms are Te at (0.2500, 0.2500, 0.0000), Ru at (0.0000, 0.0000, 0.5000) and Pt at (0.0000, 0.5000, 0.5000).


# Te2RuPt

A relaxed structure of Te2RuPt (PBE, Alexandria).

The value obtained for the raw formation energy is 536.4 meV per atom. The value obtained for the density of states at the Fermi level is 7.8 states/eV per cell. The value obtained for the relative energy among the computed polymorphs is 569.2 meV/atom. The total magnetization is 0.00 Bohr magnetons per cell.

The structure belongs to space group Cmmm (No. 65); the cell edges are 3.3039, 5.3156 and 9.1090 Å and the angles 90.00°, 90.00° and 90.00°. The inequivalent atoms are Te at (0.0000, 0.0000, 0.2375), Ru at (0.0000, 0.5000, 0.0000) and Pt at (0.0000, 0.5000, 0.5000).